Here is CdPb2Se at its PBEsol-relaxed geometry from the Alexandria database. Energies are from SCAN.

Cell and atoms, written as extended XYZ:
```
8
Lattice="11.6732 0.0000 0.0000 0.0000 3.8602 0.0000 -0.9521 0.0000 4.7421" Properties=species:S:1:pos:R:3 pbc="T T T"
Cd 0.0000 0.0000 0.0000
Cd 5.8366 1.9301 0.0000
Pb -0.0547 1.9301 2.4314
Pb 3.0944 0.0000 0.1631
Pb 5.7819 0.0000 2.4314
Pb 8.9310 1.9301 0.1631
Se 2.8107 1.9301 2.5991
Se 8.6473 0.0000 2.5991
```

Properties
* Fermi-level density of states: 1.30 states/eV/f.u.
* energy above the most stable polymorph in this dataset: 49 meV/atom
* total energy: -50.64 eV per atom